# NaWNO2 (GGA+U, optimized geometry)
# Crystal system: tetragonal
# Final energy in eV/atom: -4.1879
# Theoretical density in g/cm3: 7.0
data_NaWNO2
_symmetry_space_group_name_H-M 'P 4/m m m'
_symmetry_Int_Tables_number 123
_symmetry_space_group_name_Hall '-P 4 2'
_cell_length_a 3.918
_cell_length_b 3.918
_cell_length_c 3.911
_cell_angle_alpha 90.00
_cell_angle_beta 90.00
_cell_angle_gamma 90.00
loop_
_atom_site_label
_atom_site_fract_x
_atom_site_fract_y
_atom_site_fract_z
Na1 0.000 0.000 0.000
W1 0.500 0.500 0.500
N1 0.000 0.000 0.500
O1 0.000 0.500 0.000